Density functional theory data (GGA-PBE) for a geometry-optimized Co2TcTe2 structure.

```
data_Co2TcTe2
_cell_length_a 6.8744
_cell_length_b 6.8744
_cell_length_c 3.4014
_cell_angle_alpha 90.00
_cell_angle_beta 90.00
_cell_angle_gamma 90.00
_symmetry_space_group_name_H-M 'P 4/m b m'
_symmetry_Int_Tables_number 127
_symmetry_space_group_name_Hall '-P 4 2ab'
loop_
_atom_site_label
_atom_site_type_symbol
_atom_site_fract_x
_atom_site_fract_y
_atom_site_fract_z
_atom_site_occupancy
Co1 Co 0.1228 0.3772 0.0000 1
Tc1 Tc 0.0000 0.0000 0.0000 1
Te1 Te 0.1806 0.6806 0.5000 1
```

The formation energy from raw total energies comes out at 412 meV per atom. As for the total energy: -57.60 eV per cell.